K2ZnSnF6: optimized geometry, PBE.

The calculation puts the total energy at -4.37 eV/atom. The value obtained for the mass density is 3.71 g cm⁻³. The calculation puts the size of the total moment at 0.000 μB/atom. The calculation puts the raw formation energy at -2.5022 eV per atom. The volume comes out at 168 Å³/cell. The density of states at the Fermi level is 0.0 states/eV/cell.

The space group is P-1 (No. 2) and the conventional cell measures 6.1308, 6.1353 and 6.1382 Å, with angles of 61.35, 61.37 and 61.34 degrees. The distinct sites, in fractional coordinates, are K at (0.2441, 0.2440, 0.2431), Zn at (0.0000, 0.0000, 0.0000), Sn at (0.5000, 0.5000, 0.5000), F at (0.1641, 0.7747, 0.3009), F at (0.2266, 0.7003, 0.8346) and F at (0.2998, 0.1653, 0.7770).